Record 1
SbMo3: optimized geometry, PBE.

Structure (POSCAR):
```
SbMo3
1.0
-0.2570 -1.0234 5.5761
-3.7670 -2.3986 -3.5017
2.9476 -3.8075 -0.5629
Sb Mo
2 6
Direct
0.3333 0.6667 0.2500 Sb
0.6667 0.3333 0.7500 Sb
0.8370 0.6740 0.2500 Mo
0.3260 0.1630 0.2500 Mo
0.8370 0.1630 0.2500 Mo
0.1630 0.3260 0.7500 Mo
0.6740 0.8370 0.7500 Mo
0.1630 0.8370 0.7500 Mo
```

Summary:
ΔE_f (raw) (eV/atom): 0.233
Calculated density (Mg/m³): 10.06

=====

Record 2
SbMo3: optimized geometry, PBE.

Structure (POSCAR):
```
SbMo3
1.0
5.2232 0.0150 0.0000
2.2901 4.6944 0.0000
-3.7566 -2.3547 2.7613
Mo Sb
3 1
Direct
0.2500 0.7500 0.5000 Mo
0.5000 0.5000 0.0000 Mo
0.7500 0.2500 0.5000 Mo
0.0000 0.0000 0.0000 Sb
```

Summary:
ΔE_f (raw) (eV/atom): 0.270
Calculated density (Mg/m³): 10.06

=====

Record 3
SbMo3: optimized geometry, PBE.

Structure (POSCAR):
```
SbMo3
1.0
8.5873 -0.0185 -0.0109
8.0230 3.0618 -0.0109
8.0230 1.4699 2.6859
Mo Sb
3 1
Direct
0.7568 0.7568 0.7568 Mo
0.5000 0.5000 0.5000 Mo
0.2432 0.2432 0.2432 Mo
0.0000 0.0000 0.0000 Sb
```

Summary:
ΔE_f (raw) (eV/atom): 0.407
Calculated density (Mg/m³): 9.54

=====

Record 4
SbMo3: optimized geometry, PBE.

Structure (POSCAR):
```
SbMo3
1.0
-0.5492 -3.8662 2.3596
2.5782 -0.8155 3.6749
-1.8620 0.1136 4.1638
Mo Sb
3 1
Direct
0.0000 0.0000 0.0000 Mo
0.2500 0.2500 0.2500 Mo
0.5000 0.5000 0.5000 Mo
0.7500 0.7500 0.7500 Sb
```

Summary:
ΔE_f (raw) (eV/atom): 0.265
Calculated density (Mg/m³): 10.13

=====

Record 5
SbMo3: optimized geometry, PBE.

Structure (POSCAR):
```
SbMo3
1.0
-1.9664 1.9664 8.7647
1.9664 -1.9664 8.7647
1.9664 1.9664 -8.7647
Sb Mo
2 6
Direct
0.6243 0.6243 0.0000 Sb
0.3757 0.3757 0.0000 Sb
0.0000 0.5000 0.5000 Mo
0.5000 0.0000 0.5000 Mo
0.7500 0.2500 0.5000 Mo
0.2500 0.7500 0.5000 Mo
0.8745 0.8745 0.0000 Mo
0.1255 0.1255 0.0000 Mo
```

Summary:
ΔE_f (raw) (eV/atom): 0.317
Calculated density (Mg/m³): 10.03

=====

Record 6
Sb5Mo: optimized geometry, PBE.

Structure (POSCAR):
```
Sb5Mo
1.0
1.5611 -5.8592 -1.1440
-3.9798 -4.5509 1.2357
-2.7079 -3.0692 -4.6177
Sb Mo
5 1
Direct
0.2500 0.2500 0.2500 Sb
0.6252 0.6252 0.6252 Sb
0.6252 0.6252 0.1243 Sb
0.1243 0.6252 0.6252 Sb
0.6252 0.1243 0.6252 Sb
0.0000 0.0000 0.0000 Mo
```

Summary:
ΔE_f (raw) (eV/atom): 0.901
Calculated density (Mg/m³): 7.04

=====

Record 7
Sb5Mo: optimized geometry, PBE.

Structure (POSCAR):
```
Sb5Mo
1.0
1.7763 -8.3221 0.0000
1.7763 8.3221 0.0000
0.0000 0.0000 5.1960
Sb Mo
5 1
Direct
0.3438 0.6562 0.5000 Sb
0.1364 0.8636 0.0000 Sb
0.0000 0.0000 0.5000 Sb
0.8636 0.1364 0.0000 Sb
0.6562 0.3438 0.5000 Sb
0.5000 0.5000 0.0000 Mo
```

Summary:
ΔE_f (raw) (eV/atom): 0.376
Calculated density (Mg/m³): 7.62

=====

Record 8
Sb5Mo: optimized geometry, PBE.

Structure (POSCAR):
```
Sb5Mo
1.0
1.6948 7.0447 0.7946
-1.6948 7.0447 0.7946
0.0000 3.9557 7.7577
Sb Mo
5 1
Direct
0.3142 0.3142 0.3101 Sb
0.6533 0.6533 0.7713 Sb
0.5471 0.5471 0.1820 Sb
0.0227 0.0227 0.6256 Sb
0.3263 0.3263 0.9508 Sb
0.9698 0.9698 0.9935 Mo
```

Summary:
ΔE_f (raw) (eV/atom): 0.111
Calculated density (Mg/m³): 6.70

=====

Record 9
ScSbMo2: optimized geometry, PBE.

Structure (POSCAR):
```
ScSbMo2
1.0
-0.6307 -3.5136 -2.7633
2.8471 -1.1994 0.8752
-1.2050 -3.0898 4.2037
Mo Sb Sc
2 1 1
Direct
0.0000 0.0463 0.0456 Mo
0.5000 0.3155 0.2080 Mo
0.0000 0.3686 0.5068 Sb
0.5000 0.7697 0.7396 Sc
```

Summary:
ΔE_f (raw) (eV/atom): 0.016
Calculated density (Mg/m³): 7.88

=====

Record 10
Sc2SbMo: optimized geometry, PBE.

Structure (POSCAR):
```
Sc2SbMo
1.0
-4.1993 -0.3568 -0.3660
0.2913 -4.1597 0.7123
-2.9331 -0.6688 9.8560
Sc Sb Mo
4 2 2
Direct
0.6196 0.1250 0.2500 Sc
0.1304 0.6250 0.2500 Sc
0.3750 0.3804 0.7500 Sc
0.8750 0.8696 0.7500 Sc
0.0000 0.0000 0.0000 Sb
0.7500 0.2500 0.5000 Sb
0.5000 0.5000 0.0000 Mo
0.2500 0.7500 0.5000 Mo
```

Summary:
ΔE_f (raw) (eV/atom): 0.350
Calculated density (Mg/m³): 5.79

=====

Record 11
Sc2SbMo: optimized geometry, PBE.

Structure (POSCAR):
```
Sc2SbMo
1.0
-1.3492 2.3444 -1.6353
-2.1846 -1.0444 2.0316
2.8559 5.9022 6.1052
Mo Sb Sc
1 1 2
Direct
0.0000 0.0000 0.5078 Mo
0.5000 0.5000 0.7299 Sb
0.0000 0.0000 0.9842 Sc
0.5000 0.5000 0.2782 Sc
```

Summary:
ΔE_f (raw) (eV/atom): 0.097
Calculated density (Mg/m³): 5.95

=====

Record 12
ScSbMo2: optimized geometry, PBE.

Structure (POSCAR):
```
ScSbMo2
1.0
-8.4668 -1.1356 -2.7340
-7.5189 -4.1573 -2.5754
-8.5587 -2.6829 0.0322
Mo Sb Sc
2 1 1
Direct
0.9959 0.9959 0.9959 Mo
0.5041 0.5041 0.5041 Mo
0.2500 0.2500 0.2500 Sb
0.7500 0.7500 0.7500 Sc
```

Summary:
ΔE_f (raw) (eV/atom): 0.398
Calculated density (Mg/m³): 7.79

=====

Record 13
ScSbMo2: optimized geometry, PBE.

Structure (POSCAR):
```
ScSbMo2
1.0
-4.2203 -0.1333 -2.3609
1.3592 -1.3026 -2.3562
-0.8517 -4.8501 1.7964
Mo Sb Sc
2 1 1
Direct
0.0000 0.1073 0.9712 Mo
0.0000 0.3927 0.5288 Mo
0.5000 0.2500 0.2500 Sb
0.5000 0.7500 0.7500 Sc
```

Summary:
ΔE_f (raw) (eV/atom): 0.111
Calculated density (Mg/m³): 7.80

=====

Record 14
ScSbMo2: optimized geometry, PBE.

Structure (POSCAR):
```
ScSbMo2
1.0
-2.6164 3.5320 -1.5335
-4.6024 -0.0379 0.6990
-1.9180 2.9644 3.0340
Mo Sb Sc
2 1 1
Direct
0.0000 0.0000 0.0000 Mo
0.7500 0.7500 0.7500 Mo
0.5000 0.5000 0.5000 Sb
0.2500 0.2500 0.2500 Sc
```

Summary:
ΔE_f (raw) (eV/atom): 0.021
Calculated density (Mg/m³): 8.35